Below is a relaxed Co6Ni23S crystal, with properties calculated at the PBE level.

```
Co6Ni23S
1.0
0.000 5.557 5.557
5.557 0.000 5.557
5.557 5.557 0.000
Co Ni S
6 23 1
direct
0.217 0.217 0.783
0.217 0.783 0.217
0.217 0.783 0.783
0.783 0.217 0.217
0.783 0.217 0.783
0.783 0.783 0.217
0.000 0.000 0.500
0.000 0.500 0.000
0.000 0.500 0.500
0.141 0.620 0.620
0.165 0.165 0.165
0.165 0.165 0.506
0.165 0.506 0.165
0.380 0.380 0.380
0.380 0.380 0.859
0.380 0.859 0.380
0.494 0.835 0.835
0.500 0.000 0.000
0.500 0.000 0.500
0.500 0.500 0.000
0.500 0.500 0.500
0.506 0.165 0.165
0.620 0.141 0.620
0.620 0.620 0.141
0.620 0.620 0.620
0.835 0.494 0.835
0.835 0.835 0.494
0.835 0.835 0.835
0.859 0.380 0.380
0.000 0.000 0.000
```

Electronic total energy, eV/atom: -5.804
Formation energy from raw total energies, eV per atom: 0.187